(1)
Compound: Hf8GeRh2
Source: Alexandria via LeMat-Bulk
Functional: GGA-PBE
Structure: relaxed

Calculated values
Energy of formation from the pure elements = -251 meV/atom
SG = C2/m
M_tot = 0.0 μB/f.u.
Electronic total energy = -9.247 eV/atom
Density = 12.22 g/cm3

a = 7.390 Å, b = 7.390 Å, c = 5.231 Å
α = 102.45°, β = 102.45°, γ = 116.98°
Fractional positions:
Hf 0.098 0.330 0.557
Hf 0.233 0.767 0.000
Hf 0.330 0.098 0.557
Hf 0.393 0.393 0.176
Hf 0.607 0.607 0.824
Hf 0.670 0.902 0.443
Hf 0.767 0.233 0.000
Hf 0.902 0.670 0.443
Ge 0.000 0.000 0.000
Rh 0.291 0.709 0.500
Rh 0.709 0.291 0.500

(2)
Compound: Hf3Ge3Rh
Source: Alexandria via LeMat-Bulk
Functional: GGA-PBE
Structure: relaxed

Calculated values
Energy of formation from the pure elements = -717 meV/atom
SG = C2/m
M_tot = 0.0 μB/f.u.
Electronic total energy = -8.012 eV/atom
Density = 11.32 g/cm3

a = 5.408 Å, b = 5.408 Å, c = 13.403 Å
α = 108.14°, β = 108.14°, γ = 42.85°
Fractional positions:
Hf 0.012 0.012 0.375
Hf 0.105 0.105 0.924
Hf 0.234 0.234 0.229
Hf 0.766 0.766 0.771
Hf 0.895 0.895 0.076
Hf 0.988 0.988 0.625
Ge 0.365 0.365 0.465
Ge 0.377 0.377 0.925
Ge 0.494 0.494 0.770
Ge 0.506 0.506 0.230
Ge 0.623 0.623 0.075
Ge 0.635 0.635 0.535
Rh 0.267 0.267 0.620
Rh 0.733 0.733 0.380

(3)
Compound: HfGeRh2
Source: Alexandria via LeMat-Bulk
Functional: GGA-PBE
Structure: relaxed

Calculated values
Energy of formation from the pure elements = -732 meV/atom
SG = Fmmm
M_tot = 0.0 μB/f.u.
Electronic total energy = -8.051 eV/atom
Density = 11.95 g/cm3

a = 5.870 Å, b = 5.622 Å, c = 5.486 Å
α = 63.79°, β = 59.23°, γ = 56.98°
Fractional positions:
Hf 0.222 0.778 0.222
Hf 0.778 0.222 0.778
Ge 0.264 0.264 0.736
Ge 0.736 0.736 0.264
Rh 0.250 0.250 0.250
Rh 0.280 0.720 0.720
Rh 0.720 0.280 0.280
Rh 0.750 0.750 0.750